VASP calculation (PBE) on an optimized crystal structure of HoLuMnIn.

Its symmetry is F-43m. Its total magnetization is 0.854 μB per atom. The formation energy is -0.0962 eV per atom.

```
HoLuMnIn
1.0
0.0000 3.6290 3.6290
3.6290 0.0000 3.6290
3.6290 3.6290 0.0000
Ho Lu Mn In
1 1 1 1
direct
0.0000 0.0000 0.0000 Ho
0.5000 0.5000 0.5000 Lu
0.7500 0.7500 0.7500 Mn
0.2500 0.2500 0.2500 In
```

=====

VASP calculation (PBE) on an optimized crystal structure of NdHoLuIn.

Its symmetry is F-43m. Its total magnetization is 0.048 μB per atom. The formation energy is -0.1488 eV per atom.

```
NdHoLuIn
1.0
0.0000 3.8652 3.8652
3.8652 0.0000 3.8652
3.8652 3.8652 0.0000
Nd Ho Lu In
1 1 1 1
direct
0.0000 0.0000 0.0000 Nd
0.5000 0.5000 0.5000 Ho
0.2500 0.2500 0.2500 Lu
0.7500 0.7500 0.7500 In
```

=====

VASP calculation (PBE) on an optimized crystal structure of HoLuInNi.

Its symmetry is F-43m. Its total magnetization is 0.000 μB per atom. The formation energy is -0.3318 eV per atom.

```
HoLuInNi
1.0
0.0000 3.5539 3.5539
3.5539 0.0000 3.5539
3.5539 3.5539 0.0000
Ho Lu In Ni
1 1 1 1
direct
0.0000 0.0000 0.0000 Ho
0.5000 0.5000 0.5000 Lu
0.2500 0.2500 0.2500 In
0.7500 0.7500 0.7500 Ni
```

=====

VASP calculation (PBE) on an optimized crystal structure of HoLuInPb.

Its symmetry is F-43m. Its total magnetization is 0.000 μB per atom. The formation energy is -0.3493 eV per atom.

```
HoLuInPb
1.0
0.0000 3.7805 3.7805
3.7805 0.0000 3.7805
3.7805 3.7805 0.0000
Ho Lu In Pb
1 1 1 1
direct
0.0000 0.0000 0.0000 Ho
0.5000 0.5000 0.5000 Lu
0.2500 0.2500 0.2500 In
0.7500 0.7500 0.7500 Pb
```

=====

VASP calculation (PBE) on an optimized crystal structure of PrHoLuIn.

Its symmetry is F-43m. Its total magnetization is 0.066 μB per atom. The formation energy is -0.1479 eV per atom.

```
PrHoLuIn
1.0
0.0000 3.8770 3.8770
3.8770 0.0000 3.8770
3.8770 3.8770 0.0000
Pr Ho Lu In
1 1 1 1
direct
0.0000 0.0000 0.0000 Pr
0.5000 0.5000 0.5000 Ho
0.2500 0.2500 0.2500 Lu
0.7500 0.7500 0.7500 In
```

=====

VASP calculation (PBE) on an optimized crystal structure of HoLuInRh.

Its symmetry is F-43m. Its total magnetization is 0.000 μB per atom. The formation energy is -0.5919 eV per atom.

```
HoLuInRh
1.0
0.0000 3.5585 3.5585
3.5585 0.0000 3.5585
3.5585 3.5585 0.0000
Ho Lu In Rh
1 1 1 1
direct
0.0000 0.0000 0.0000 Ho
0.5000 0.5000 0.5000 Lu
0.2500 0.2500 0.2500 In
0.7500 0.7500 0.7500 Rh
```

=====

VASP calculation (PBE) on an optimized crystal structure of HoLuInRu.

Its symmetry is F-43m. Its total magnetization is 0.000 μB per atom. The formation energy is -0.3647 eV per atom.

```
HoLuInRu
1.0
0.0000 3.5341 3.5341
3.5341 0.0000 3.5341
3.5341 3.5341 0.0000
Ho Lu In Ru
1 1 1 1
direct
0.0000 0.0000 0.0000 Ho
0.5000 0.5000 0.5000 Lu
0.7500 0.7500 0.7500 In
0.2500 0.2500 0.2500 Ru
```

=====

VASP calculation (PBE) on an optimized crystal structure of HoLuScIn.

Its symmetry is F-43m. Its total magnetization is 0.105 μB per atom. The formation energy is -0.1397 eV per atom.

```
HoLuScIn
1.0
0.0000 3.7428 3.7428
3.7428 0.0000 3.7428
3.7428 3.7428 0.0000
Ho Lu Sc In
1 1 1 1
direct
0.0000 0.0000 0.0000 Ho
0.5000 0.5000 0.5000 Lu
0.7500 0.7500 0.7500 Sc
0.2500 0.2500 0.2500 In
```